No. 1
{"formula": "TlCoSb", "functional": "PBE", "state": "optimized geometry", "lattice_angstrom": [[4.265, 0.000, 0.000], [0.000, 4.265, 0.000], [0.000, 0.000, 8.105]], "species": ["Co", "Co", "Sb", "Sb", "Tl", "Tl"], "frac_coords": [[0.500, 0.500, 0.500], [0.000, 0.000, 0.500], [0.000, 0.500, 0.336], [0.500, 0.000, 0.664], [0.000, 0.500, 0.840], [0.500, 0.000, 0.160]], "magnetic_moment_mub_per_fu": 0.55, "dos_at_fermi_per_ev_cell": 2.55, "total_energy_ev_per_cell": -26.84, "e_form_raw_ev_per_atom": 0.058}



No. 2
{"formula": "Tl2CoSb", "functional": "PBE", "state": "optimized geometry", "lattice_angstrom": [[-6.387, -4.478, -3.578], [-6.376, -5.743, -0.094], [-8.133, -2.584, -0.913]], "species": ["Tl", "Tl", "Co", "Sb"], "frac_coords": [[0.230, 0.230, 0.230], [0.001, 0.001, 0.001], [0.494, 0.494, 0.494], [0.776, 0.776, 0.776]], "magnetic_moment_mub_per_fu": 0.00, "de_polymorph_mev_per_atom": 19.7, "dos_at_fermi_per_ev_cell": 2.88, "total_energy_ev_per_cell": -15.26, "e_form_raw_ev_per_atom": 0.175}



No. 3
{"formula": "Tl2CoSb", "functional": "PBE", "state": "optimized geometry", "lattice_angstrom": [[-3.237, -0.258, -0.008], [0.275, -1.175, 3.015], [-0.660, 8.190, 3.252]], "species": ["Tl", "Tl", "Co", "Sb"], "frac_coords": [[0.000, 0.000, 0.442], [0.000, 0.000, 0.058], [0.500, 0.500, 0.250], [0.500, 0.500, 0.750]], "magnetic_moment_mub_per_fu": 1.43, "de_polymorph_mev_per_atom": 310.1, "dos_at_fermi_per_ev_cell": 4.66, "total_energy_ev_per_cell": -14.10, "e_form_raw_ev_per_atom": 0.465}



No. 4
{"formula": "TlCo2Sb2", "functional": "PBE", "state": "optimized geometry", "lattice_angstrom": [[3.883, 0.000, 0.000], [0.000, 3.883, 0.000], [1.941, 1.941, 7.539]], "species": ["Tl", "Co", "Co", "Sb", "Sb"], "frac_coords": [[0.000, 0.000, 0.000], [0.750, 0.250, 0.500], [0.250, 0.750, 0.500], [0.647, 0.647, 0.707], [0.353, 0.353, 0.293]], "magnetic_moment_mub_per_fu": 0.00, "dos_at_fermi_per_ev_cell": 3.45, "total_energy_ev_per_cell": -24.53, "e_form_raw_ev_per_atom": 0.058}



No. 5
{"formula": "Tl2CoSb", "functional": "PBE", "state": "optimized geometry", "lattice_angstrom": [[3.245, 0.009, 0.000], [-0.008, 3.245, 0.000], [0.000, 0.000, 9.058]], "species": ["Sb", "Co", "Tl", "Tl"], "frac_coords": [[0.500, 0.500, 0.671], [0.000, 0.000, 0.527], [0.500, 0.500, 0.306], [0.000, 0.000, 0.995]], "magnetic_moment_mub_per_fu": 0.97, "de_polymorph_mev_per_atom": 17.2, "dos_at_fermi_per_ev_cell": 2.53, "total_energy_ev_per_cell": -15.27, "e_form_raw_ev_per_atom": 0.172}



No. 6
{"formula": "Tl2CoSb", "functional": "PBE", "state": "optimized geometry", "lattice_angstrom": [[-5.972, 2.493, 3.302], [-3.792, -1.895, 5.900], [5.979, 2.038, -3.589]], "species": ["Sb", "Tl", "Tl", "Co"], "frac_coords": [[0.331, 0.831, 0.500], [0.005, 0.005, 0.000], [0.685, 0.185, 0.500], [0.479, 0.479, 0.000]], "magnetic_moment_mub_per_fu": 0.33, "de_polymorph_mev_per_atom": 91.2, "dos_at_fermi_per_ev_cell": 2.53, "total_energy_ev_per_cell": -14.98, "e_form_raw_ev_per_atom": 0.246}